1.
A plane-wave DFT calculation with GGA-PBE was carried out for a geometry-optimized BaY2Sc structure.

Cell lengths 3.911, 3.911, 9.542 Å; angles 90.00, 90.00, 90.00 degrees
Fractional coordinates of all 4 atoms:
1 Ba 0.000 0.000 0.000
2 Y 0.500 0.500 0.313
3 Y 0.500 0.500 0.687
4 Sc 0.000 0.000 0.500

Results
E_tot in Ry per atom: -0.3780
Space-group type: No. 123
ΔH_f (0 K) in meV/atom: 153


2.
A plane-wave DFT calculation with GGA-PBE was carried out for a geometry-optimized CaAsRu2 structure.

Cell lengths 3.086, 3.917, 6.106 Å; angles 90.00, 104.36, 90.00 degrees
Fractional coordinates of all 4 atoms:
1 Ca 0.000 0.000 0.000
2 As 0.000 0.000 0.500
3 Ru 0.351 0.500 0.699
4 Ru 0.649 0.500 0.301

Results
E_tot in Ry per atom: -0.4582
Space-group type: No. 10
ΔH_f (0 K) in meV/atom: 66


Which of these has the lowest E_tot? CaAsRu2


ΔH_f (0 K) of number 2 (CaAsRu2)? 66 meV/atom


Which value of E_tot does entry 2 give? -0.4582 Ry per atom


Which of these has the lowest ΔH_f (0 K)? CaAsRu2